{"formula": "AcTb4NdHo2", "functional": "PBE", "state": "relaxed", "ef_ev_per_atom": 0.04, "rho_g_cm3": 8.263, "n_ef_per_ev_cell": 11.90, "spacegroup": "No. 47", "total_magnetization_mub_per_cell": 0.0, "lattice_angstrom": [[-3.917, -3.159, 1.077], [-0.292, -1.320, -4.933], [6.301, -8.933, -3.285]], "species": ["Ac", "Tb", "Tb", "Tb", "Tb", "Nd", "Ho", "Ho"], "frac_coords": [[0.500, 0.500, 0.000], [0.000, 0.756, 0.744], [0.000, 0.244, 0.256], [0.500, 0.743, 0.257], [0.500, 0.257, 0.743], [0.000, 0.500, 0.500], [0.000, 0.000, 0.000], [0.500, 0.000, 0.500]]}